This record from the Alexandria database describes LaBeAg2 at its PBEsol-relaxed geometry. The functional is meta-GGA SCAN.

The value obtained for the size of the total moment is 0.0 μB per formula unit. The formation energy comes out at 0.11 eV per atom.

It has space group I-4m2 (No. 119), with a = 4.8300 Å, b = 4.8300 Å, c = 6.8078 Å, α = 90.00°, β = 90.00° and γ = 90.00°. The distinct sites, in fractional coordinates, are La at (0.0000, 0.0000, 0.0000), Be at (0.0000, 0.5000, 0.7500), Ag at (0.0000, 0.0000, 0.5000) and Ag at (0.0000, 0.5000, 0.2500).